# 1
TbDy2Ho7 | GGA-PBE | relaxed

## Properties
Total DFT energy (no corrections), eV/f.u.: -38.85
N(E_F), states/eV/cell: 12.75
E above lowest polymorph, meV per atom: 685.4
Formation enthalpy at 0 K, eV/atom: 0.70

abc: 5.1853 9.5273 9.5273
angles: 126.11 90.00 90.00
Atoms (fractional coordinates):
Tb (0.0000, 0.0000, 0.0000)
Dy (0.5000, 0.7014, 0.2986)
Dy (0.5000, 0.2986, 0.7014)
Ho (0.0000, 0.8021, 0.1979)
Ho (0.0000, 0.1979, 0.8021)
Ho (0.5000, 0.0695, 0.2884)
Ho (0.5000, 0.9305, 0.7116)
Ho (0.5000, 0.2884, 0.0695)
Ho (0.5000, 0.7116, 0.9305)
Ho (0.5000, 0.5000, 0.5000)

***

# 2
Ba3Li4Pd4 | GGA-PBE | relaxed

## Properties
Total DFT energy (no corrections), eV/f.u.: -38.14
N(E_F), states/eV/cell: 5.92
E above lowest polymorph, meV per atom: 20.4
Formation enthalpy at 0 K, eV/atom: -0.36

abc: 7.0139 7.0139 7.0139
angles: 109.47 109.47 109.47
Atoms (fractional coordinates):
Ba (0.5000, 0.5000, 0.0000)
Ba (0.5000, 0.0000, 0.5000)
Ba (0.0000, 0.5000, 0.5000)
Li (0.0000, 0.2480, 0.0000)
Li (0.0000, 0.0000, 0.2480)
Li (0.2480, 0.0000, 0.0000)
Li (0.7520, 0.7520, 0.7520)
Pd (0.0000, 0.6153, 0.0000)
Pd (0.6153, 0.0000, 0.0000)
Pd (0.0000, 0.0000, 0.6153)
Pd (0.3847, 0.3847, 0.3847)

***

# 3
TbPuNp2N4 | GGA-PBE | relaxed

## Properties
Total DFT energy (no corrections), eV/f.u.: -88.10
Formation energy (no corrections), eV/atom: -1.24
N(E_F), states/eV/cell: 17.28

abc: 3.4561 5.9815 6.0146
angles: 109.45 90.00 90.00
Last column: magnetic moment on the atom in μB.
Atoms (fractional coordinates):
Tb (0.5000, 0.5000, 0.0000)  0.00
Pu (0.0000, 0.0000, 0.0000)  4.74
Np (0.5000, 0.0000, 0.5000)  -2.76
Np (0.0000, 0.5000, 0.5000)  -2.77
N (0.5000, 0.2564, 0.2645)  0.03
N (0.5000, 0.7436, 0.7355)  0.03
N (0.0000, 0.2458, 0.7331)  0.07
N (0.0000, 0.7542, 0.2669)  0.07

***

# 4
LiSmMgRu | GGA-PBE | relaxed

## Properties
Total DFT energy (no corrections), eV/f.u.: -17.82
N(E_F), states/eV/cell: 0.95
Formation enthalpy at 0 K, eV/atom: -0.08

abc: 4.7994 4.7994 4.7994
angles: 60.00 60.00 60.00
Atoms (fractional coordinates):
Ru (0.7500, 0.7500, 0.7500)
Mg (0.5000, 0.5000, 0.5000)
Sm (0.0000, 0.0000, 0.0000)
Li (0.2500, 0.2500, 0.2500)

***

# 5
TbHoEr4Se8 | GGA-PBE | relaxed

## Properties
Total DFT energy (no corrections), eV/f.u.: -79.14
Formation energy (no corrections), eV/atom: -1.70
N(E_F), states/eV/cell: 8.53

abc: 8.3643 8.3643 8.3681
angles: 60.02 60.02 60.00
Atoms (fractional coordinates):
Tb (0.3748, 0.3748, 0.8756)
Ho (0.9997, 0.9997, 0.0008)
Er (0.6251, 0.6251, 0.1246)
Er (0.9997, 0.5009, 0.4997)
Er (0.5009, 0.9997, 0.4997)
Er (0.9997, 0.9997, 0.4997)
Se (0.2421, 0.7756, 0.7402)
Se (0.7756, 0.2421, 0.7402)
Se (0.2421, 0.2421, 0.7402)
Se (0.2411, 0.2411, 0.2767)
Se (0.7565, 0.2286, 0.2584)
Se (0.2286, 0.7565, 0.2584)
Se (0.7565, 0.7565, 0.2584)
Se (0.7575, 0.7575, 0.7276)

***

# 6
Co2AgOs | GGA-PBE | relaxed

## Properties
Total DFT energy (no corrections), eV/f.u.: -26.37
N(E_F), states/eV/cell: 4.78
E above lowest polymorph, meV per atom: 191.1
Formation enthalpy at 0 K, eV/atom: 0.48

abc: 2.6292 2.6292 9.0678
angles: 90.00 90.00 117.08
Last column: magnetic moment on the atom in μB.
Atoms (fractional coordinates):
Ag (0.5000, 0.5000, 0.7623)  0.00
Co (0.0000, 0.0000, 0.0234)  1.83
Co (0.5000, 0.5000, 0.2387)  1.80
Os (0.0000, 0.0000, 0.4757)  0.22

***

# 7
Ca2PaSbN2 | GGA-PBE | relaxed

## Properties
Total DFT energy (no corrections), eV/f.u.: -41.83
Formation energy (no corrections), eV/atom: -1.26

abc: 4.3833 4.3833 6.6396
angles: 90.00 90.00 90.00
Atoms (fractional coordinates):
Ca (0.5000, 0.5000, 0.7534)
Ca (0.5000, 0.5000, 0.2466)
Pa (0.0000, 0.0000, 0.0000)
Sb (0.0000, 0.0000, 0.5000)
N (0.5000, 0.0000, 0.0000)
N (0.0000, 0.5000, 0.0000)

***

# 8
CdAg2Te | GGA-PBE | relaxed

## Properties
Total DFT energy (no corrections), eV/f.u.: -9.41
Formation energy (no corrections), eV/atom: 0.09
N(E_F), states/eV/cell: 0.15
E above lowest polymorph, meV per atom: 89.8

abc: 5.0215 5.0215 5.0215
angles: 60.00 60.00 60.00
Atoms (fractional coordinates):
Te (0.5000, 0.5000, 0.5000)
Ag (0.2500, 0.2500, 0.2500)
Ag (0.7500, 0.7500, 0.7500)
Cd (0.0000, 0.0000, 0.0000)

***

Which value of total DFT energy (no corrections) does entry 3 give?
-88.10 eV/f.u.

***

total DFT energy (no corrections) of number 8 (CdAg2Te)?
-9.41 eV/f.u.